MnAlO3 | GGA+U | optimized geometry

Geometry as POSCAR:
```
MnAlO3
1.0
2.452 0.219 2.096
-2.858 -1.159 0.971
3.347 -10.603 -2.805
O Mn Al
6 2 2
Direct
0.667 0.333 0.924
0.000 0.000 0.250
0.667 0.333 0.576
0.333 0.667 0.424
0.000 0.000 0.750
0.333 0.667 0.076
0.333 0.667 0.250
0.667 0.333 0.750
0.000 0.000 0.000
0.000 0.000 0.500
```

Values from the calculation:
The value obtained for the electronic total energy is -72.48 eV for the cell shown. Its space-group type is P6_3/mmc (194).

MnAlO4 | GGA+U | optimized geometry

Geometry as POSCAR:
```
MnAlO4
1.0
-2.281 -0.839 -4.720
-0.970 -3.827 3.550
-1.998 4.516 1.949
O Mn Al
8 2 2
Direct
0.252 0.558 0.306
0.697 0.502 0.194
0.308 0.502 0.806
0.197 0.998 0.198
0.800 0.998 0.802
0.748 0.050 0.302
0.748 0.447 0.698
0.252 0.947 0.694
0.995 0.495 0.500
0.245 0.245 0.000
0.754 0.754 0.000
0.504 0.004 0.500
```

Values from the calculation:
The value obtained for the electronic total energy is -83.57 eV for the cell shown. Its space-group type is I4_1md (109).

MnAlO2 | GGA+U | optimized geometry

Geometry as POSCAR:
```
MnAlO2
1.0
4.741 0.000 0.000
0.000 4.741 0.000
2.371 2.371 4.427
O Mn Al
4 2 2
Direct
0.875 0.802 0.750
0.198 0.625 0.250
0.375 0.448 0.750
0.552 0.125 0.250
0.000 0.000 0.000
0.750 0.250 0.500
0.250 0.750 0.500
0.500 0.500 0.000
```

Values from the calculation:
The value obtained for the electronic total energy is -57.35 eV for the cell shown. Its space-group type is I-42d (122).

MnAl2O | GGA+U | optimized geometry

Geometry as POSCAR:
```
MnAl2O
1.0
5.787 0.000 0.000
0.000 5.787 0.000
2.893 2.893 3.703
Mn Al O
2 4 2
Direct
0.750 0.250 0.500
0.000 0.000 0.000
0.227 0.625 0.250
0.375 0.477 0.750
0.523 0.125 0.250
0.875 0.773 0.750
0.500 0.500 0.000
0.250 0.750 0.500
```

Values from the calculation:
The value obtained for the electronic total energy is -44.13 eV for the cell shown. Its space-group type is I-42d (122).

MnAl2O4 | GGA+U | optimized geometry

Geometry as POSCAR:
```
MnAl2O4
1.0
5.871 0.000 0.000
0.000 5.871 0.000
-2.936 2.936 4.152
O Al Mn
8 4 2
Direct
0.142 0.142 0.717
0.575 0.142 0.717
0.175 0.608 0.783
0.608 0.175 0.217
0.142 0.575 0.283
0.608 0.608 0.783
0.608 0.608 0.217
0.142 0.142 0.283
0.375 0.375 0.750
0.375 0.375 0.250
0.875 0.375 0.250
0.375 0.875 0.750
0.750 0.750 0.500
0.000 0.000 0.000
```

Values from the calculation:
The value obtained for the electronic total energy is -106.67 eV for the cell shown. Its space-group type is Fd-3m (227).

Mn2AlO | GGA+U | optimized geometry

Geometry as POSCAR:
```
Mn2AlO
1.0
6.299 0.000 0.000
0.000 6.299 0.000
3.149 3.149 3.473
O Al Mn
2 2 4
Direct
0.500 0.500 0.000
0.250 0.750 0.500
0.000 0.000 0.000
0.750 0.250 0.500
0.534 0.125 0.250
0.875 0.784 0.750
0.216 0.625 0.250
0.375 0.466 0.750
```

Values from the calculation:
The value obtained for the electronic total energy is -49.83 eV for the cell shown. Its space-group type is I-42d (122). As for the relative energy among the computed polymorphs: 0 meV per atom.

MnAl2Sb2P6O24 | GGA+U | optimized geometry

Geometry as POSCAR:
```
MnAl2Sb2P6O24
1.0
-8.046 2.071 2.255
-5.745 -6.059 2.095
-2.741 -0.935 8.107
Mn O P Sb Al
1 24 6 2 2
Direct
0.500 0.500 0.500
0.251 0.352 0.969
0.593 0.408 0.247
0.061 0.701 0.979
0.701 0.979 0.061
0.749 0.648 0.031
0.880 0.683 0.509
0.031 0.749 0.648
0.352 0.969 0.251
0.939 0.299 0.021
0.969 0.251 0.352
0.491 0.120 0.317
0.408 0.247 0.593
0.299 0.021 0.939
0.120 0.317 0.491
0.753 0.407 0.592
0.021 0.939 0.299
0.592 0.753 0.407
0.683 0.509 0.880
0.979 0.061 0.701
0.247 0.593 0.408
0.509 0.880 0.683
0.317 0.491 0.120
0.648 0.031 0.749
0.407 0.592 0.753
0.041 0.738 0.466
0.959 0.262 0.534
0.534 0.959 0.262
0.466 0.041 0.738
0.262 0.534 0.959
0.738 0.466 0.041
0.859 0.859 0.859
0.141 0.141 0.141
0.355 0.355 0.355
0.645 0.645 0.645
```

Values from the calculation:
The value obtained for the electronic total energy is -250.28 eV for the cell shown. Its space-group type is R-3 (148). As for the relative energy among the computed polymorphs: 0 meV per atom.

MnAl2Sb2P6O24 | GGA+U | optimized geometry

Geometry as POSCAR:
```
MnAl2Sb2P6O24
1.0
8.549 0.000 0.000
0.000 8.584 0.025
0.000 -0.094 12.109
Sb Mn O P Al
4 2 48 12 4
Direct
0.000 0.722 0.642
0.500 0.778 0.358
0.000 0.278 0.358
0.500 0.222 0.642
0.500 0.500 0.000
0.000 0.000 0.000
0.921 0.285 0.716
0.185 0.387 0.820
0.804 0.381 0.312
0.594 0.226 0.791
0.320 0.653 0.404
0.104 0.473 0.405
0.685 0.113 0.180
0.896 0.916 0.158
0.829 0.153 0.909
0.396 0.973 0.405
0.931 0.741 0.990
0.893 0.080 0.331
0.171 0.847 0.091
0.067 0.744 0.487
0.680 0.347 0.596
0.579 0.785 0.716
0.896 0.527 0.595
0.196 0.619 0.688
0.406 0.774 0.209
0.069 0.259 0.010
0.103 0.529 0.100
0.815 0.613 0.180
0.104 0.084 0.842
0.079 0.715 0.284
0.107 0.920 0.669
0.304 0.119 0.688
0.933 0.256 0.513
0.696 0.881 0.312
0.421 0.215 0.284
0.180 0.153 0.404
0.396 0.584 0.842
0.671 0.653 0.909
0.906 0.726 0.791
0.569 0.241 0.990
0.393 0.420 0.669
0.603 0.971 0.900
0.820 0.847 0.596
0.604 0.416 0.158
0.604 0.027 0.595
0.607 0.580 0.331
0.433 0.244 0.487
0.897 0.471 0.900
0.329 0.347 0.091
0.567 0.756 0.513
0.315 0.887 0.820
0.431 0.759 0.010
0.094 0.274 0.209
0.397 0.029 0.100
0.712 0.501 0.241
0.852 0.641 0.899
0.648 0.141 0.899
0.861 0.351 0.610
0.361 0.149 0.390
0.139 0.649 0.390
0.639 0.851 0.610
0.288 0.499 0.759
0.148 0.359 0.101
0.352 0.859 0.101
0.212 0.999 0.759
0.788 0.001 0.241
0.499 0.211 0.140
0.001 0.711 0.140
0.501 0.789 0.860
0.999 0.289 0.860
```

Values from the calculation:
The value obtained for the electronic total energy is -500.19 eV for the cell shown. Its space-group type is P2_1/c (14). As for the relative energy among the computed polymorphs: 5 meV per atom.

PaMnAlO5 | GGA+U | optimized geometry

Geometry as POSCAR:
```
PaMnAlO5
1.0
5.516 -0.455 0.316
-2.046 5.143 0.316
-1.080 -1.458 6.583
O Mn Pa Al
10 2 2 2
Direct
0.406 0.231 0.998
0.231 0.406 0.498
0.594 0.769 0.002
0.096 0.904 0.250
0.769 0.594 0.502
0.317 0.990 0.613
0.010 0.683 0.887
0.990 0.317 0.113
0.683 0.010 0.387
0.904 0.096 0.750
0.325 0.675 0.750
0.675 0.325 0.250
0.666 0.334 0.750
0.334 0.666 0.250
0.000 0.000 0.500
0.000 0.000 0.000
```

Values from the calculation:
The value obtained for the electronic total energy is -134.01 eV for the cell shown. Its space-group type is C2/c (15).

PaMnAlO6 | GGA+U | optimized geometry

Geometry as POSCAR:
```
PaMnAlO6
1.0
5.211 0.000 0.000
-2.605 4.513 0.000
0.000 0.000 8.530
O Mn Al Pa
12 2 2 2
Direct
0.034 0.339 0.624
0.966 0.305 0.124
0.305 0.339 0.876
0.034 0.695 0.876
0.339 0.034 0.124
0.661 0.695 0.624
0.339 0.305 0.376
0.661 0.966 0.876
0.966 0.661 0.376
0.305 0.966 0.624
0.695 0.661 0.124
0.695 0.034 0.376
0.667 0.333 0.250
0.333 0.667 0.750
0.000 0.000 0.000
0.000 0.000 0.500
0.667 0.333 0.750
0.333 0.667 0.250
```

Values from the calculation:
The value obtained for the electronic total energy is -145.02 eV for the cell shown. Its space-group type is P-31c (163).

Mn2AlPbO | GGA+U | optimized geometry

Geometry as POSCAR:
```
Mn2AlPbO
1.0
-0.649 -4.957 0.122
1.793 -0.120 4.666
-4.942 0.694 1.917
Mn O Pb Al
2 1 1 1
Direct
0.000 0.500 0.000
0.500 0.000 0.000
0.500 0.500 0.500
0.000 0.000 0.500
0.000 0.000 0.000
```

Values from the calculation:
The value obtained for the electronic total energy is -22.66 eV for the cell shown. Its space-group type is P4/mmm (123).

MnAlPdO2 | GGA+U | optimized geometry

Geometry as POSCAR:
```
MnAlPdO2
1.0
3.984 0.000 0.000
0.000 5.115 0.000
0.000 0.000 3.984
Mn Pd Al O
1 1 1 2
Direct
0.000 0.500 0.000
0.000 0.000 0.000
0.500 0.500 0.500
0.000 0.000 0.500
0.500 0.000 0.000
```

Values from the calculation:
The value obtained for the electronic total energy is -24.94 eV for the cell shown. Its space-group type is P4/mmm (123).